This record from Alexandria describes crystalline Cs3Dy3PuTe8 at its relaxed geometry. The functional is PBE.

Summary:
- magnetic moment (μB per cell) = 4.01
- space group = R-3m, No. 166
- density of states at the Fermi level (states/eV/f.u.) = 14.3
- raw formation energy (eV per atom) = -1.271
- E_tot (eV/atom) = -4.993

Cell lengths 10.474, 10.474, 10.474 Å; angles 50.72, 50.72, 50.72 degrees
Atoms (fractional coordinates):
Cs1 0.000 0.500 0.500
Cs2 0.500 0.000 0.500
Cs3 0.500 0.500 0.000
Dy1 0.000 0.000 0.500
Dy2 0.000 0.500 0.000
Dy3 0.500 0.000 0.000
Pu1 0.500 0.500 0.500
Te1 0.229 0.729 0.729
Te2 0.230 0.230 0.230
Te3 0.271 0.271 0.771
Te4 0.271 0.771 0.271
Te5 0.729 0.229 0.729
Te6 0.729 0.729 0.229
Te7 0.770 0.770 0.770
Te8 0.771 0.271 0.271



This record from Alexandria describes crystalline Cs3DyPu2Te6 at its relaxed geometry. The functional is PBE.

Summary:
- magnetic moment (μB per cell) = 10.00
- space group = C2/m, No. 12
- density of states at the Fermi level (states/eV/f.u.) = 26.9
- raw formation energy (eV per atom) = -1.193
- E_tot (eV/atom) = -5.749

Cell lengths 7.988, 7.988, 9.283 Å; angles 98.25, 98.25, 120.00 degrees
Atoms (fractional coordinates):
Cs1 0.000 0.000 0.000
Cs2 0.333 0.667 0.000
Cs3 0.667 0.333 0.000
Dy1 0.500 0.500 0.500
Pu1 0.167 0.833 0.500
Pu2 0.833 0.167 0.500
Te1 0.107 0.437 0.311
Te2 0.233 0.233 0.689
Te3 0.437 0.107 0.311
Te4 0.563 0.893 0.689
Te5 0.767 0.767 0.311
Te6 0.893 0.563 0.689



This record from Alexandria describes crystalline Cs5DyS4 at its relaxed geometry. The functional is PBE.

Summary:
- magnetic moment (μB per cell) = 0.00
- space group = C2/m, No. 12
- raw formation energy (eV per atom) = -1.191
- E_tot (eV/atom) = -3.729

Cell lengths 10.601, 10.601, 9.114 Å; angles 105.62, 105.62, 24.54 degrees
Atoms (fractional coordinates):
Cs1 0.000 0.000 0.000
Cs2 0.333 0.333 0.640
Cs3 0.341 0.341 0.151
Cs4 0.659 0.659 0.849
Cs5 0.667 0.667 0.360
Dy1 0.000 0.000 0.500
S1 0.141 0.141 0.594
S2 0.499 0.499 0.704
S3 0.501 0.501 0.296
S4 0.859 0.859 0.406



This record from Alexandria describes crystalline CsDy5S8 at its relaxed geometry. The functional is PBE.

Summary:
- magnetic moment (μB per cell) = 0.00
- space group = C2/m, No. 12
- density of states at the Fermi level (states/eV/f.u.) = 0.0
- raw formation energy (eV per atom) = -2.022
- E_tot (eV/atom) = -6.085

Cell lengths 10.427, 10.427, 9.811 Å; angles 104.24, 104.24, 22.16 degrees
Atoms (fractional coordinates):
Cs1 0.000 0.000 0.000
Dy1 0.156 0.156 0.449
Dy2 0.203 0.203 0.839
Dy3 0.500 0.500 0.500
Dy4 0.797 0.797 0.161
Dy5 0.844 0.844 0.551
S1 0.079 0.079 0.642
S2 0.271 0.271 0.355
S3 0.329 0.329 0.011
S4 0.418 0.418 0.685
S5 0.582 0.582 0.315
S6 0.671 0.671 0.989
S7 0.729 0.729 0.645
S8 0.921 0.921 0.358



This record from Alexandria describes crystalline CsDy2S3 at its relaxed geometry. The functional is PBE.

Summary:
- magnetic moment (μB per cell) = 0.00
- space group = P2_1/m, No. 11
- density of states at the Fermi level (states/eV/f.u.) = 2.1
- raw formation energy (eV per atom) = -1.727
- E_tot (eV/atom) = -5.467
- ΔE to the lowest computed polymorph (meV/atom) = 44

Cell lengths 7.487, 4.001, 10.711 Å; angles 90.00, 103.46, 90.00 degrees
Atoms (fractional coordinates):
Cs1 0.027 0.250 0.344
Cs2 0.973 0.750 0.656
Dy1 0.260 0.250 0.993
Dy2 0.499 0.750 0.317
Dy3 0.501 0.250 0.683
Dy4 0.740 0.750 0.007
S1 0.153 0.750 0.135
S2 0.333 0.750 0.526
S3 0.396 0.750 0.849
S4 0.604 0.250 0.151
S5 0.667 0.250 0.474
S6 0.847 0.250 0.865



This record from Alexandria describes crystalline Cs3DyS3 at its relaxed geometry. The functional is PBE.

Summary:
- magnetic moment (μB per cell) = 0.00
- space group = C2/m, No. 12
- density of states at the Fermi level (states/eV/f.u.) = 0.0
- raw formation energy (eV per atom) = -1.472
- E_tot (eV/atom) = -4.264
- ΔE to the lowest computed polymorph (meV/atom) = 0

Cell lengths 8.750, 8.750, 8.569 Å; angles 96.31, 96.31, 114.13 degrees
Atoms (fractional coordinates):
Cs1 0.185 0.815 0.000
Cs2 0.254 0.746 0.500
Cs3 0.376 0.376 0.140
Cs4 0.624 0.624 0.860
Cs5 0.746 0.254 0.500
Cs6 0.815 0.185 0.000
Dy1 0.174 0.174 0.642
Dy2 0.826 0.826 0.358
S1 0.096 0.096 0.326
S2 0.162 0.447 0.771
S3 0.447 0.162 0.771
S4 0.553 0.838 0.229
S5 0.838 0.553 0.229
S6 0.904 0.904 0.674



This record from Alexandria describes crystalline CsDy2S3 at its relaxed geometry. The functional is PBE.

Summary:
- magnetic moment (μB per cell) = 0.00
- space group = Cmcm, No. 63
- density of states at the Fermi level (states/eV/f.u.) = 2.3
- raw formation energy (eV per atom) = -1.771
- E_tot (eV/atom) = -5.511
- ΔE to the lowest computed polymorph (meV/atom) = 0

Cell lengths 7.178, 7.178, 7.308 Å; angles 90.00, 90.00, 60.00 degrees
Atoms (fractional coordinates):
Cs1 0.000 0.000 0.250
Cs2 0.000 0.000 0.750
Dy1 0.333 0.333 0.000
Dy2 0.333 0.333 0.500
Dy3 0.667 0.667 0.000
Dy4 0.667 0.667 0.500
S1 0.000 0.500 0.250
S2 0.000 0.500 0.750
S3 0.500 0.000 0.250
S4 0.500 0.000 0.750
S5 0.500 0.500 0.250
S6 0.500 0.500 0.750



This record from Alexandria describes crystalline Cs3DyS3 at its relaxed geometry. The functional is PBE.

Summary:
- magnetic moment (μB per cell) = 0.00
- space group = P2_1/c, No. 14
- density of states at the Fermi level (states/eV/f.u.) = 0.0
- raw formation energy (eV per atom) = -1.461
- E_tot (eV/atom) = -4.253
- ΔE to the lowest computed polymorph (meV/atom) = 11

Cell lengths 8.699, 14.727, 11.194 Å; angles 90.00, 127.34, 90.00 degrees
Atoms (fractional coordinates):
Cs1 0.110 0.125 0.474
Cs2 0.110 0.375 0.974
Cs3 0.169 0.111 0.885
Cs4 0.169 0.389 0.385
Cs5 0.327 0.673 0.542
Cs6 0.327 0.827 0.042
Cs7 0.673 0.173 0.958
Cs8 0.673 0.327 0.458
Cs9 0.831 0.611 0.615
Cs10 0.831 0.889 0.115
Cs11 0.890 0.625 0.026
Cs12 0.890 0.875 0.526
Dy1 0.448 0.066 0.340
Dy2 0.448 0.434 0.840
Dy3 0.552 0.566 0.160
Dy4 0.552 0.934 0.660
S1 0.185 0.190 0.203
S2 0.185 0.310 0.703
S3 0.331 0.594 0.866
S4 0.331 0.906 0.366
S5 0.367 0.543 0.269
S6 0.367 0.957 0.769
S7 0.633 0.043 0.231
S8 0.633 0.457 0.731
S9 0.669 0.094 0.634
S10 0.669 0.406 0.134
S11 0.815 0.690 0.297
S12 0.815 0.810 0.797



This record from Alexandria describes crystalline CsDyS at its relaxed geometry. The functional is PBE.

Summary:
- magnetic moment (μB per cell) = 0.00
- space group = P4/nmm, No. 129
- density of states at the Fermi level (states/eV/f.u.) = 2.2
- raw formation energy (eV per atom) = -0.886
- E_tot (eV/atom) = -4.081

Cell lengths 4.989, 4.989, 7.842 Å; angles 90.00, 90.00, 90.00 degrees
Atoms (fractional coordinates):
Cs1 0.250 0.750 0.000
Cs2 0.750 0.250 0.000
Dy1 0.250 0.750 0.500
Dy2 0.750 0.250 0.500
S1 0.250 0.250 0.350
S2 0.750 0.750 0.650



This record from Alexandria describes crystalline CsDy4S6 at its relaxed geometry. The functional is PBE.

Summary:
- magnetic moment (μB per cell) = 0.00
- space group = Cmcm, No. 63
- density of states at the Fermi level (states/eV/f.u.) = 2.0
- raw formation energy (eV per atom) = -1.929
- E_tot (eV/atom) = -5.931

Cell lengths 6.951, 6.951, 21.360 Å; angles 90.00, 90.00, 146.70 degrees
Atoms (fractional coordinates):
Cs1 0.152 0.848 0.750
Cs2 0.848 0.152 0.250
Dy1 0.101 0.899 0.132
Dy2 0.101 0.899 0.368
Dy3 0.369 0.631 0.039
Dy4 0.369 0.631 0.461
Dy5 0.631 0.369 0.539
Dy6 0.631 0.369 0.961
Dy7 0.899 0.101 0.632
Dy8 0.899 0.101 0.868
S1 0.000 0.000 0.000
S2 0.000 0.000 0.500
S3 0.144 0.856 0.250
S4 0.270 0.730 0.578
S5 0.270 0.730 0.922
S6 0.469 0.531 0.145
S7 0.469 0.531 0.355
S8 0.531 0.469 0.645
S9 0.531 0.469 0.855
S10 0.730 0.270 0.078
S11 0.730 0.270 0.422
S12 0.856 0.144 0.750